Run w
TiTcPS2 | GGA-PBE | relaxed

Summary:
V   97.9 Å³/cell
Total moment   0.834 μB per cell

a = 4.6464 Å, b = 4.6464 Å, c = 4.5323 Å
α = 90.00°, β = 90.00°, γ = 90.00°
Space group P4/mmm (No. 123)
Unique sites:
Ti 0.0000 0.0000 0.0000 x1
Tc 0.5000 0.5000 0.5000 x1
P 0.5000 0.5000 0.0000 x1
S 0.0000 0.5000 0.5000 x2

Run x
TiTcPS2 | GGA-PBE | relaxed

Summary:
V   102.4 Å³/cell
Total moment   4.115 μB per cell

a = 4.6162 Å, b = 4.6162 Å, c = 4.8070 Å
α = 90.00°, β = 90.00°, γ = 90.00°
Space group P4/mmm (No. 123)
Unique sites:
Ti 0.0000 0.0000 0.0000 x1
Tc 0.5000 0.5000 0.5000 x1
P 0.0000 0.0000 0.5000 x1
S 0.0000 0.5000 0.0000 x2

Winner for stability: run x